Here is Os2RuCl after structural relaxation from Alexandria. Energies are from GGA-PBE.

a = 10.0320 Å, b = 2.7903 Å, c = 4.2919 Å
α = 90.00°, β = 91.11°, γ = 90.00°
Last column: nearest neighbours and their distance in Å.
Space group C2/m (No. 12)
Symmetry-distinct sites (fractional):
1 Os 0.2158 0.0000 0.2361  1 Cl 2.46, 4 Os 2.56-2.74, 2 Ru 2.75
2 Ru 0.0000 0.5000 0.0000  4 Cl 2.56, 4 Os 2.75, 2 Ru 2.79
3 Cl 0.0000 0.0000 0.5000  2 Os 2.46, 4 Ru 2.56

Computed properties:
- E_form (uncorrected) (eV/atom) = 0.77
- energy above the lowest structure with this stoichiometry (eV per atom) = 0.266
- density (g/cm³) = 14.3

Here is LiMg2Ga2Pt5 after structural relaxation from Alexandria. Energies are from GGA-PBE.

a = 9.3598 Å, b = 9.3598 Å, c = 3.6936 Å
α = 90.00°, β = 90.00°, γ = 90.00°
Last column: nearest neighbours and their distance in Å.
Space group P4/mbm (No. 127)
Symmetry-distinct sites (fractional):
1 Li 0.0000 0.0000 0.0000  8 Pt 2.69
2 Mg 0.1700 0.3300 0.0000  3 Ga 2.64-2.84, 2 Pt 2.91
3 Ga 0.1305 0.6305 0.0000  6 Pt 2.52-2.53, 1 Mg 2.64
4 Pt 0.0000 0.5000 0.5000  4 Ga 2.53
5 Pt 0.0735 0.8050 0.5000  2 Ga 2.52, 2 Li 2.69, 2 Pt 2.76

Computed properties:
- density (g/cm³) = 12.0
- ΔH_f (0 K) (eV per formula unit) = -6.384

Here is Ca6Sn2N after structural relaxation from Alexandria. Energies are from GGA-PBE.

a = 7.0190 Å, b = 7.0190 Å, c = 5.7215 Å
α = 90.00°, β = 90.00°, γ = 120.00°
Last column: nearest neighbours and their distance in Å.
Space group P-3m1 (No. 164)
Symmetry-distinct sites (fractional):
1 Ca 0.1646 0.3291 0.2316  1 N 2.40
2 Sn 0.3333 0.6667 0.7431  12 Ca 3.47-3.57
3 N 0.0000 0.0000 0.0000  6 Ca 2.40

Computed properties:
- E_form (uncorrected) (eV/atom) = -0.71
- energy above the lowest structure with this stoichiometry (eV per atom) = 0.033
- density (g/cm³) = 3.3

Here is HfPd2Pt4 after structural relaxation from Alexandria. Energies are from GGA-PBE.

a = 4.7693 Å, b = 5.5637 Å, c = 5.5882 Å
α = 60.45°, β = 72.77°, γ = 89.95°
Last column: nearest neighbours and their distance in Å.
Space group P-1 (No. 2)
Symmetry-distinct sites (fractional):
1 Hf 0.0000 0.0000 0.0000  8 Pt 2.78-2.81, 2 Pd 2.80
2 Pd 0.4935 0.7477 0.5049  8 Pt 2.74-2.84, 2 Pd 2.78, 1 Hf 2.80
3 Pt 0.0000 0.0000 0.5000  4 Pd 2.74-2.78, 4 Pt 2.77-2.78, 2 Hf 2.79
4 Pt 0.0000 0.5000 0.5000  4 Pd 2.74-2.78, 4 Pt 2.77-2.78, 2 Hf 2.81
5 Pt 0.4999 0.2579 0.9995  4 Pt 2.70-2.87, 4 Pd 2.76-2.84, 2 Hf 2.78

Computed properties:
- density (g/cm³) = 16.0
- ΔH_f (0 K) (eV per formula unit) = -3.387

Question: Which value of density does entry 2 give?
Answer: 12.0 g/cm³

Question: What is the density in the first record?
Answer: 14.3 g/cm³

Question: Which formula does entry 1 have?
Answer: Os2RuCl